Entry 1:
CoTcBMo: optimized geometry, GGA-PBE.

Lattice parameters (Å, degrees): 5.7903 5.7903 5.7903 90.00 90.00 90.00
Space group F-43m (No. 216)
Unique sites:
Co 0.0000 0.0000 0.0000
Tc 0.0000 0.0000 0.5000
B 0.2500 0.2500 0.7500
Mo 0.2500 0.2500 0.2500

The calculation puts the polymorph energy (0 for the lowest one) at 0.0 meV per atom.


Entry 2:
ZnCoBMo: optimized geometry, GGA-PBE.

Lattice parameters (Å, degrees): 5.6830 5.6830 5.6830 90.00 90.00 90.00
Space group F-43m (No. 216)
Unique sites:
Zn 0.0000 0.0000 0.0000
Co 0.2500 0.2500 0.7500
B 0.0000 0.0000 0.5000
Mo 0.2500 0.2500 0.2500

The calculation puts the polymorph energy (0 for the lowest one) at 0.0 meV per atom.


Entry 3:
ZnCoBMo: optimized geometry, GGA-PBE.

Lattice parameters (Å, degrees): 5.7296 5.7296 5.7296 90.00 90.00 90.00
Space group F-43m (No. 216)
Unique sites:
Zn 0.0000 0.0000 0.0000
Co 0.0000 0.0000 0.5000
B 0.2500 0.2500 0.2500
Mo 0.2500 0.2500 0.7500

The calculation puts the polymorph energy (0 for the lowest one) at 258.9 meV per atom.


Entry 4:
ZrCoBMo: optimized geometry, GGA-PBE.

Lattice parameters (Å, degrees): 6.0047 6.0047 6.0047 90.00 90.00 90.00
Space group F-43m (No. 216)
Unique sites:
Zr 0.0000 0.0000 0.0000
Co 0.2500 0.2500 0.7500
B 0.0000 0.0000 0.5000
Mo 0.2500 0.2500 0.2500

The calculation puts the polymorph energy (0 for the lowest one) at 0.0 meV per atom.


Entry 5:
ZrCoBMo: optimized geometry, GGA-PBE.

Lattice parameters (Å, degrees): 6.0762 6.0762 6.0762 90.00 90.00 90.00
Space group F-43m (No. 216)
Unique sites:
Zr 0.0000 0.0000 0.0000
Co 0.0000 0.0000 0.5000
B 0.2500 0.2500 0.2500
Mo 0.2500 0.2500 0.7500

The calculation puts the polymorph energy (0 for the lowest one) at 133.4 meV per atom.


Entry 6:
PrNd2Co2B2N3: optimized geometry, GGA-PBE.

Lattice parameters (Å, degrees): 3.6410 3.6410 20.0358 90.00 90.00 90.00
Space group I4/mmm (No. 139)
Unique sites:
Pr 0.0000 0.0000 0.0000
Nd 0.0000 0.0000 0.3711
Co 0.0000 0.5000 0.2500
B 0.0000 0.0000 0.1983
N 0.0000 0.0000 0.1240
N 0.0000 0.0000 0.5000

The calculation puts the raw total energy at -7.707 eV per atom.


Entry 7:
NdSm2Co2B2N3: optimized geometry, GGA-PBE.

Lattice parameters (Å, degrees): 3.5864 3.5864 20.0463 90.00 90.00 90.00
Space group I4/mmm (No. 139)
Unique sites:
Nd 0.0000 0.0000 0.0000
Sm 0.0000 0.0000 0.3722
Co 0.0000 0.5000 0.2500
B 0.0000 0.0000 0.1974
N 0.0000 0.0000 0.1227
N 0.0000 0.0000 0.5000

The calculation puts the raw total energy at -7.753 eV per atom.


Entry 8:
TbNd2Co2B2N3: optimized geometry, GGA-PBE.

Lattice parameters (Å, degrees): 3.5971 3.5971 19.8100 90.00 90.00 90.00
Space group I4/mmm (No. 139)
Unique sites:
Tb 0.0000 0.0000 0.0000
Nd 0.0000 0.0000 0.3732
Co 0.0000 0.5000 0.2500
B 0.0000 0.0000 0.1963
N 0.0000 0.0000 0.1205
N 0.0000 0.0000 0.5000

The calculation puts the raw total energy at -7.757 eV per atom.


Entry 9:
NdTm2Co2B2N3: optimized geometry, GGA-PBE.

Lattice parameters (Å, degrees): 3.4849 3.4849 20.0523 90.00 90.00 90.00
Space group I4/mmm (No. 139)
Unique sites:
Nd 0.0000 0.0000 0.0000
Tm 0.0000 0.0000 0.3735
Co 0.0000 0.5000 0.2500
B 0.0000 0.0000 0.1957
N 0.0000 0.0000 0.1211
N 0.0000 0.0000 0.5000

The calculation puts the raw total energy at -7.774 eV per atom.


Entry 10:
Y2CoNiB2N2: optimized geometry, GGA-PBE.

Lattice parameters (Å, degrees): 3.4897 3.4897 7.4625 90.00 90.00 90.00
Space group P-4m2 (No. 115)
Unique sites:
Y 0.0000 0.5000 0.1681
Co 0.0000 0.0000 0.5000
Ni 0.5000 0.5000 0.5000
B 0.0000 0.5000 0.6525
N 0.0000 0.5000 0.8516

The calculation puts the raw total energy at -8.040 eV per atom.


- Which formula does entry 5 have?
  ZrCoBMo